NdTm2ScHg4 after structural relaxation. Source: the Alexandria database, functional PBE.

Energy of formation: -442 meV per atom
Theoretical density: 11.030 Mg/m³
DFT total energy: -24.785 eV/cell

Cell lengths 5.171, 5.171, 9.143 Å; angles 73.57, 73.57, 60.00 degrees
Sites, in units of the cell vectors:
1 Nd 0.000 0.000 0.000
2 Tm 0.753 0.753 0.741
3 Tm 0.247 0.247 0.259
4 Sc 0.500 0.500 0.500
5 Hg 0.382 0.382 0.854
6 Hg 0.872 0.872 0.385
7 Hg 0.128 0.128 0.615
8 Hg 0.618 0.618 0.146

---

Ta2PtSe7 after structural relaxation. Source: the Alexandria database, functional PBE.

Formation energy without anion corrections: -6.36 eV per formula unit
Theoretical density: 7.486 Mg/m³
DFT total energy: -120.990 eV/cell

Cell lengths 7.937, 7.937, 18.960 Å; angles 70.54, 70.54, 26.02 degrees
Sites, in units of the cell vectors:
1 Ta 0.841 0.841 0.397
2 Ta 0.159 0.159 0.603
3 Ta 0.233 0.233 0.908
4 Ta 0.767 0.767 0.092
5 Pt 0.302 0.302 0.210
6 Pt 0.698 0.698 0.790
7 Se 0.268 0.268 0.693
8 Se 0.732 0.732 0.307
9 Se 0.205 0.205 0.448
10 Se 0.795 0.795 0.552
11 Se 0.544 0.544 0.584
12 Se 0.456 0.456 0.416
13 Se 0.649 0.649 0.011
14 Se 0.351 0.351 0.989
15 Se 0.416 0.416 0.291
16 Se 0.584 0.584 0.709
17 Se 0.908 0.908 0.128
18 Se 0.092 0.092 0.872
19 Se 0.155 0.155 0.171
20 Se 0.845 0.845 0.829

---

PuHg4Au2 after structural relaxation. Source: the Alexandria database, functional PBE.

Energy of formation: -87 meV per atom
Theoretical density: 13.456 Mg/m³
DFT total energy: -45.403 eV/cell

Cell lengths 5.439, 14.565, 8.554 Å; angles 148.36, 90.00, 90.00 degrees
Sites, in units of the cell vectors:
1 Au 0.000 0.661 0.323
2 Au 0.000 0.339 0.677
3 Au 0.500 0.839 0.677
4 Au 0.500 0.161 0.323
5 Hg 0.799 0.686 0.000
6 Hg 0.750 0.579 0.500
7 Hg 0.750 0.079 0.500
8 Hg 0.701 0.186 0.000
9 Hg 0.299 0.814 0.000
10 Hg 0.250 0.921 0.500
11 Hg 0.250 0.421 0.500
12 Hg 0.201 0.314 0.000
13 Pu 0.000 0.000 0.000
14 Pu 0.500 0.500 0.000